Below is UAl8Fe4 after structural relaxation, with properties calculated at the GGA-PBE level.

The structure belongs to space group I4/mmm (No. 139); the cell edges are 8.691, 8.691 and 4.990 Å and the angles 90.00°, 90.00° and 90.00°. The inequivalent atoms are U at (0.000, 0.000, 0.000), Al at (0.000, 0.218, 0.500), Al at (0.000, 0.342, 0.000) and Fe at (0.250, 0.250, 0.250).

Its calculated volume is 188.44 Å³/f.u. The energy of formation from the pure elements comes out at -320 meV per atom. As for the total energy: -6.096 eV/atom.

=====

Below is TlAgC after structural relaxation, with properties calculated at the GGA-PBE level.

The structure belongs to space group P1 (No. 1); the cell edges are 4.175, 5.102 and 6.671 Å and the angles 112.34°, 107.95° and 90.51°. The inequivalent atoms are Tl at (0.000, 0.000, 0.000), Tl at (0.267, 0.768, 0.536), Ag at (0.560, 0.564, 0.123), Ag at (0.878, 0.376, 0.753), C at (0.669, 0.299, 0.341) and C at (0.672, 0.048, 0.342).

Its calculated volume is 61.89 Å³/f.u. The energy of formation from the pure elements comes out at 719 meV per atom. As for the total energy: -4.095 eV/atom.

=====

Below is Ag3As after structural relaxation, with properties calculated at the GGA-PBE level.

The structure belongs to space group P-6m2 (No. 187); the cell edges are 2.9974, 2.9974 and 9.4328 Å and the angles 90.00°, 90.00° and 120.00°. The inequivalent atoms are Ag at (0.0000, 0.0000, 0.0000), Ag at (0.3333, 0.6667, 0.2497) and As at (0.0000, 0.0000, 0.5000).

Its calculated volume is 73.40 Å³/f.u. The energy of formation from the pure elements comes out at 121 meV per atom. As for the total energy: -3.180 eV/atom.

=====

Below is MnFe2Ni after structural relaxation, with properties calculated at the GGA-PBE level.

The structure belongs to space group I-4m2 (No. 119); the cell edges are 3.519, 3.519 and 7.196 Å and the angles 90.00°, 90.00° and 90.00°. The inequivalent atoms are Mn at (0.000, 0.000, 0.000), Fe at (0.000, 0.000, 0.500), Fe at (0.000, 0.500, 0.250) and Ni at (0.000, 0.500, 0.750).

Its calculated volume is 44.55 Å³/f.u. The energy of formation from the pure elements comes out at 63 meV per atom. As for the total energy: -7.906 eV/atom.

=====

Below is EuVZn4 after structural relaxation, with properties calculated at the GGA-PBE level.

The structure belongs to space group F-43m (No. 216); the cell edges are 7.538, 7.538 and 7.538 Å and the angles 90.00°, 90.00° and 90.00°. The inequivalent atoms are Eu at (0.000, 0.000, 0.000), V at (0.250, 0.250, 0.750) and Zn at (0.124, 0.124, 0.376).

Its calculated volume is 107.10 Å³/f.u. The energy of formation from the pure elements comes out at -28 meV per atom. As for the total energy: -4.109 eV/atom.

=====

Below is La2ZnW after structural relaxation, with properties calculated at the GGA-PBE level.

The structure belongs to space group Cm (No. 8); the cell edges are 11.689, 3.126 and 5.508 Å and the angles 90.00°, 104.81° and 90.00°. The inequivalent atoms are La at (0.000, 0.000, 0.000), La at (0.193, 0.000, 0.639), Zn at (0.261, 0.500, 0.176) and W at (0.432, 0.000, 0.467).

Its calculated volume is 97.27 Å³/f.u. The energy of formation from the pure elements comes out at 328 meV per atom. As for the total energy: -5.692 eV/atom.